1.
VASP calculation (PBE) on an optimized crystal structure of KCo2Ag.

Structure (POSCAR):
```
KCo2Ag
1.0
-4.766 -1.232 -2.395
-0.030 -3.777 -3.962
1.955 0.505 5.088
K Co Ag
1 2 1
Direct
0.250 0.750 0.500
0.500 0.500 0.000
0.000 0.000 0.000
0.750 0.250 0.500
```

## Properties
As for the theoretical density: 5.96 Mg/m³. For the polymorph energy (0 for the lowest one), the calculation gives 0.6192 eV/atom. As for the space group: No. 139. The value obtained for the calculated total energy is -0.2509 Ry per atom.

2.
VASP calculation (PBE) on an optimized crystal structure of KCoAg.

Structure (POSCAR):
```
KCoAg
1.0
5.159 0.000 0.000
2.579 4.468 0.000
2.579 1.489 4.212
Co Ag K
1 1 1
Direct
0.500 0.500 0.500
0.000 0.000 0.000
0.750 0.750 0.750
```

## Properties
As for the theoretical density: 3.52 Mg/m³. For the polymorph energy (0 for the lowest one), the calculation gives 0.8926 eV/atom. As for the space group: No. 216. The value obtained for the calculated total energy is -0.1591 Ry per atom.

3.
VASP calculation (PBE) on an optimized crystal structure of KCo2Ag.

Structure (POSCAR):
```
KCo2Ag
1.0
5.512 -0.003 0.000
-2.721 4.793 0.000
0.000 0.000 2.672
K Co Ag
1 2 1
Direct
0.500 0.000 0.500
0.000 0.000 0.000
0.500 0.500 0.000
0.000 0.500 0.500
```

## Properties
As for the theoretical density: 6.23 Mg/m³. For the polymorph energy (0 for the lowest one), the calculation gives 0.5167 eV/atom. As for the space group: No. 65. The value obtained for the calculated total energy is -0.2585 Ry per atom.